The following is a DFT calculation (meta-GGA SCAN) of SiPbSe2 at its PBEsol-relaxed geometry.

```
SiPbSe2
1.0
-2.1989 1.7940 2.6802
-0.3768 -3.7615 2.2086
5.7844 0.7125 1.4262
Pb Se Si
1 2 1
Cartesian
0.6193 -1.4434 4.3168
3.1832 -1.1959 6.2546
2.5854 -0.4526 2.4241
4.5261 0.3108 3.5052
```

Its space group is Cm (8). The value obtained for the uncorrected formation energy is -1.0 eV/f.u. The crystal system is monoclinic.


The following is a DFT calculation (meta-GGA SCAN) of SiPb2Se4 at its PBEsol-relaxed geometry.

```
SiPb2Se4
1.0
7.0710 0.0000 0.0000
0.0000 8.4178 -0.0004
0.0000 -4.1796 12.9057
Pb Se Si
8 16 4
Cartesian
5.9744 5.3200 8.1139
2.4389 -3.1716 11.2441
1.0966 -1.0818 4.7913
4.6321 7.4098 1.6611
6.0337 1.0759 8.1956
2.4982 1.0725 11.1624
1.0372 3.1623 4.7096
4.5727 3.1657 1.7428
3.7322 3.0806 9.4714
0.1967 -0.9321 9.8866
3.3388 1.1577 3.4338
6.8743 5.1704 3.0186
3.7804 -0.9562 9.4941
0.2449 3.1046 9.8640
3.2906 5.1944 3.4111
6.8261 1.1336 3.0413
5.2066 1.2715 12.3686
1.6711 0.8769 6.9894
1.8644 2.9668 0.5366
5.3999 3.3613 5.9158
5.2321 -3.3157 12.2335
1.6966 5.4641 7.1246
1.8389 7.5539 0.6718
5.3744 -1.2259 5.7806
5.3783 3.1476 11.0635
1.8428 -0.9992 8.2946
1.6927 1.0906 1.8417
5.2282 5.2374 4.6107
```

Its space group is P2_1/c (14). The value obtained for the uncorrected formation energy is -3.8 eV/f.u. The crystal system is monoclinic.


The following is a DFT calculation (meta-GGA SCAN) of SnPb2Se at its PBEsol-relaxed geometry.

```
SnPb2Se
1.0
-1.7721 -3.5488 -3.5151
-0.6138 -5.0667 1.4290
-4.8656 -2.0376 0.5144
Pb Sn Se
2 1 1
Cartesian
-1.8129 -2.6633 -0.3929
-5.4386 -7.9898 -1.1788
-3.6257 -5.3265 -0.7859
0.0000 0.0000 0.0000
```

Its space group is Fm-3m (225). The value obtained for the uncorrected formation energy is 0.2 eV/f.u. The crystal system is cubic.


The following is a DFT calculation (meta-GGA SCAN) of SnPb2Se2 at its PBEsol-relaxed geometry.

```
SnPb2Se2
1.0
-1.7552 -2.6512 4.7448
-1.2981 -2.6146 -5.3789
2.9738 -4.6420 -1.4937
Pb Sn Se
2 1 2
Cartesian
-0.6110 -4.1861 0.8726
0.5315 -5.7217 -3.0005
0.0000 0.0000 0.0000
0.2649 -6.7772 -0.2512
-0.3444 -3.1306 -1.8767
```

Its space group is I4/mmm (139). The value obtained for the uncorrected formation energy is -0.1 eV/f.u. The crystal system is tetragonal.


The following is a DFT calculation (meta-GGA SCAN) of Sn2PbSe3 at its PBEsol-relaxed geometry.

```
Sn2PbSe3
1.0
-0.8048 -3.1846 -2.6800
2.7252 3.0564 -1.0972
7.7924 -5.4592 4.1470
Pb Sn Se
1 2 3
Cartesian
0.0000 0.0000 0.0000
2.9940 -2.9413 -0.7569
6.7187 -2.6461 1.1268
6.8091 -5.6141 1.2734
2.9037 0.0267 -0.9036
3.8962 -2.7296 2.0735
```

Its space group is P-3m1 (164). The value obtained for the uncorrected formation energy is -2.5 eV/f.u. The crystal system is trigonal.


The following is a DFT calculation (meta-GGA SCAN) of SrPbSe at its PBEsol-relaxed geometry.

```
SrPbSe
1.0
4.0860 0.0000 0.0000
0.0000 5.0388 0.0000
0.0000 -2.5194 4.3637
Pb Se Sr
1 1 1
Cartesian
3.6056 0.0000 0.0000
3.1139 0.0000 2.9091
1.4526 2.5194 1.4546
```

The calculation puts the energy relative to the lowest polymorph listed for this composition at 0 meV per atom. Its space group is P3m1 (156). The value obtained for the uncorrected formation energy is -2.4 eV/f.u. The crystal system is trigonal.


The following is a DFT calculation (meta-GGA SCAN) of SrPbSe at its PBEsol-relaxed geometry.

```
SrPbSe
1.0
5.2109 0.0000 0.0000
2.6054 4.5128 0.0000
2.6054 1.5043 4.2547
Pb Se Sr
1 1 1
Cartesian
0.0000 0.0000 0.0000
5.2109 3.0085 2.1273
2.6054 1.5043 1.0637
```

The calculation puts the energy relative to the lowest polymorph listed for this composition at 301 meV per atom. Its space group is F-43m (216). The value obtained for the uncorrected formation energy is -1.5 eV/f.u. The crystal system is cubic.


The following is a DFT calculation (meta-GGA SCAN) of TcPbSe3 at its PBEsol-relaxed geometry.

```
TcPbSe3
1.0
5.2888 0.0000 0.0000
0.0000 5.2888 0.0000
0.0000 0.0000 5.2888
Pb Tc Se
1 1 3
Cartesian
0.0000 0.0000 0.0000
2.6444 2.6444 2.6444
0.0000 2.6444 0.0000
0.0000 0.0000 2.6444
2.6444 0.0000 0.0000
```

Its space group is Pm-3m (221). The value obtained for the uncorrected formation energy is 5.5 eV/f.u. The crystal system is cubic.


The following is a DFT calculation (meta-GGA SCAN) of TePbSe2 at its PBEsol-relaxed geometry.

```
TePbSe2
1.0
-2.0329 1.1536 3.2262
-0.4701 -3.1350 3.2846
5.3671 1.3160 5.3711
Pb Se Te
1 2 1
Cartesian
1.4321 -0.3327 5.9410
-0.7972 -1.7090 7.4882
3.6615 1.0437 4.3937
-1.0164 0.5768 1.6131
```

The calculation puts the energy relative to the lowest polymorph listed for this composition at 22 meV per atom. Its space group is C2/m (12). The value obtained for the uncorrected formation energy is -0.8 eV/f.u. The crystal system is monoclinic.


The following is a DFT calculation (meta-GGA SCAN) of Te4PbSe at its PBEsol-relaxed geometry.

```
Te4PbSe
1.0
6.2236 0.0000 0.0000
3.1118 5.3898 0.0000
3.1118 1.7966 5.0815
Pb Se Te
1 1 4
Cartesian
9.3354 5.3898 3.8111
0.0000 0.0000 0.0000
4.6570 2.6887 1.9012
6.2236 3.5932 4.4594
7.7901 2.6887 1.9012
6.2236 5.4021 1.9012
```

Its space group is F-43m (216). The value obtained for the uncorrected formation energy is 2.4 eV/f.u. The crystal system is cubic.


The following is a DFT calculation (meta-GGA SCAN) of TePbSe at its PBEsol-relaxed geometry.

```
TePbSe
1.0
4.1750 0.0000 0.0000
0.0000 4.1750 0.0000
-2.0875 -2.0875 4.9589
Pb Se Te
1 1 1
Cartesian
0.0000 0.0000 0.0688
2.0875 2.0875 1.2927
0.0000 0.0000 3.5973
```

Its space group is I4mm (107). The value obtained for the uncorrected formation energy is -0.3 eV/f.u. The crystal system is tetragonal.


The following is a DFT calculation (meta-GGA SCAN) of TePbSe2 at its PBEsol-relaxed geometry.

```
TePbSe2
1.0
4.2409 0.0000 0.0000
0.0000 4.2409 0.0000
0.0000 0.0000 6.0767
Pb Te Se
1 1 2
Cartesian
0.0000 0.0000 3.0384
2.1205 2.1205 0.0000
0.0000 0.0000 0.0000
2.1205 2.1205 3.0384
```

The calculation puts the energy relative to the lowest polymorph listed for this composition at 0 meV per atom. Its space group is P4/mmm (123). The value obtained for the uncorrected formation energy is -0.9 eV/f.u. The crystal system is tetragonal.